VASP calculation (PBE) on a relaxed structure of CsThAgBr6.

Geometry as POSCAR:
```
CsThAgBr6
1.0
7.442 0.000 0.000
-3.721 6.445 0.000
0.000 0.000 16.559
Cs Th Ag Br
2 2 2 12
Cartesian
0.000 0.000 0.000
0.000 0.000 8.280
0.000 4.297 4.140
3.721 2.148 12.420
0.000 4.297 12.420
3.721 2.148 4.140
-1.328 2.399 2.459
-2.307 4.095 5.821
1.328 2.399 5.821
-0.979 6.396 2.459
2.742 0.049 10.739
1.414 2.350 14.100
2.307 4.095 2.459
0.979 6.396 5.821
4.700 0.049 14.100
2.393 4.046 10.739
6.029 2.350 10.739
5.050 4.046 14.100
```

- SG = No. 163
- energy relative to the elements, uncorrected (eV/atom) = -1.46
- D(E_F) (states/eV/cell) = 0.0

VASP calculation (PBE) on a relaxed structure of YScMn2.

Geometry as POSCAR:
```
YScMn2
1.0
4.559 -1.584 0.000
4.559 1.584 0.000
-1.062 0.000 5.818
Y Sc Mn
1 1 2
Cartesian
0.000 0.000 0.000
4.028 0.000 2.909
1.513 0.000 4.014
6.543 0.000 1.804
```

- SG = No. 12
- D(E_F) (states/eV/cell) = 4.6
- energy relative to the elements (eV/f.u.) = 1.47

VASP calculation (PBE) on a relaxed structure of Pr6GeTe3As2.

Geometry as POSCAR:
```
Pr6GeTe3As2
1.0
9.735 -2.197 0.000
9.735 2.197 0.000
-2.301 0.000 8.652
Pr Ge Te As
6 1 3 2
Cartesian
-0.439 0.000 2.024
5.380 0.000 3.739
4.552 0.000 7.815
12.617 0.000 0.837
11.789 0.000 4.914
17.608 0.000 6.628
9.735 0.000 0.000
1.346 0.000 7.206
8.585 0.000 4.326
15.824 0.000 1.446
2.483 0.000 2.890
14.686 0.000 5.762
```

- SG = No. 12
- energy relative to the elements, uncorrected (eV/atom) = -1.44
- D(E_F) (states/eV/cell) = 4.4

VASP calculation (PBE) on a relaxed structure of ScTi2TlN.

Geometry as POSCAR:
```
ScTi2TlN
1.0
4.216 0.000 0.000
0.000 4.216 0.000
0.000 0.000 4.483
Sc Ti Tl N
1 2 1 1
Cartesian
0.000 0.000 0.000
0.000 2.108 2.242
2.108 0.000 2.242
2.108 2.108 0.000
0.000 0.000 2.242
```

- SG = No. 123
- energy relative to the elements, uncorrected (eV/atom) = -0.84
- D(E_F) (states/eV/cell) = 4.2

VASP calculation (PBE) on a relaxed structure of Mg2ScMn.

Geometry as POSCAR:
```
Mg2ScMn
1.0
1.556 0.898 9.951
-1.556 0.898 9.951
0.000 -1.796 9.951
Mg Sc Mn
2 1 1
Cartesian
0.000 0.000 7.264
0.000 0.000 22.589
0.000 0.000 0.000
0.000 0.000 14.927
```

- excess energy over the best structure of this formula in the dataset (eV/atom) = 0.1900
- SG = No. 166
- D(E_F) (states/eV/cell) = 4.1
- energy relative to the elements (eV/f.u.) = 0.91

VASP calculation (PBE) on a relaxed structure of Li2AlB5O10.

Geometry as POSCAR:
```
Li2AlB5O10
1.0
7.166 0.000 0.000
0.000 15.159 0.000
-0.073 0.000 7.164
Li Al B O
8 4 20 40
Cartesian
0.771 2.625 3.528
0.734 4.954 7.110
2.030 8.668 4.169
2.067 14.071 0.587
5.026 1.088 6.577
5.062 6.491 2.995
6.358 10.205 0.054
6.322 12.534 3.636
1.135 1.889 0.251
1.099 5.690 3.833
5.994 9.469 3.332
5.958 13.270 6.914
1.398 10.938 3.699
1.435 11.800 0.117
1.452 0.430 2.853
1.415 7.149 6.436
1.677 0.009 5.235
1.713 7.570 1.653
2.236 9.413 0.040
2.199 13.325 3.622
3.310 3.754 3.585
3.346 3.826 0.003
3.746 11.333 7.162
3.783 11.405 3.579
4.893 1.834 3.542
4.857 5.746 7.125
5.380 7.589 5.512
5.416 15.150 1.930
5.678 8.010 0.729
5.641 14.729 4.311
5.658 3.359 7.048
5.694 4.221 3.465
0.462 9.953 3.778
0.498 12.786 0.196
1.072 10.471 7.113
1.109 12.267 3.531
1.142 1.384 1.935
1.106 6.195 5.517
1.194 0.810 4.188
1.230 6.770 0.606
1.643 0.474 6.527
1.679 7.105 2.945
1.918 8.386 6.136
1.954 14.352 2.554
2.052 3.385 0.067
2.016 4.195 3.649
2.201 8.803 1.373
2.165 13.936 4.955
2.732 10.504 3.829
2.769 12.235 0.247
3.467 10.018 6.981
3.504 12.721 3.399
3.589 2.439 3.766
3.625 5.141 0.183
4.324 2.924 6.918
4.360 4.655 3.336
4.928 1.224 2.209
4.891 6.356 5.791
5.077 10.964 3.515
5.040 11.775 7.097
5.138 0.807 4.610
5.175 6.773 1.028
5.413 8.054 4.219
5.450 14.685 0.637
5.863 8.389 6.558
5.899 14.350 2.976
5.987 8.964 1.647
5.950 13.775 5.229
5.984 2.892 3.633
6.020 4.688 0.051
6.595 2.373 6.969
6.631 5.206 3.387
```

- SG = No. 14
- energy relative to the elements, uncorrected (eV/atom) = -2.52
- D(E_F) (states/eV/cell) = 0.0

VASP calculation (PBE) on a relaxed structure of SmBH2O4.

Geometry as POSCAR:
```
SmBH2O4
1.0
-2.006 2.750 3.047
2.006 -2.750 3.047
2.006 2.750 -3.047
Sm B H O
1 1 2 4
Cartesian
0.000 0.000 0.000
0.000 0.000 3.047
2.006 0.000 2.142
0.000 2.750 0.905
1.045 2.020 -0.899
0.961 0.730 2.148
0.961 -0.730 3.946
1.045 3.480 0.899
```

- SG = No. 23
- E (eV per atom) = -6.85
- D(E_F) (states/eV/cell) = 0.0

VASP calculation (PBE) on a relaxed structure of La2Sm12Y5.

Geometry as POSCAR:
```
La2Sm12Y5
1.0
7.949 -4.651 0.000
7.949 4.651 0.000
-0.344 0.000 8.794
La Sm Y
2 12 5
Cartesian
7.949 3.068 0.000
7.949 -3.068 0.000
0.835 0.000 3.035
5.765 2.835 2.842
5.303 1.673 6.673
9.789 2.835 5.952
6.713 0.000 1.068
10.251 1.673 2.120
5.303 -1.673 6.673
8.841 0.000 7.726
5.765 -2.835 2.842
10.251 -1.673 2.120
9.789 -2.835 5.952
14.720 0.000 5.759
3.327 0.000 0.285
4.108 0.000 3.799
7.777 0.000 4.397
11.447 0.000 4.995
12.228 0.000 8.509
```

- SG = No. 12
- D(E_F) (states/eV/cell) = 27.7
- energy relative to the elements (eV/f.u.) = 2.47

VASP calculation (PBE) on a relaxed structure of SrGaGePd3.

Geometry as POSCAR:
```
SrGaGePd3
1.0
3.452 -6.163 0.000
3.452 6.163 0.000
0.000 0.000 5.840
Sr Ga Ge Pd
2 2 2 6
Cartesian
3.452 3.484 4.380
3.452 -3.484 1.460
3.452 0.308 4.380
3.452 -0.308 1.460
3.452 4.661 1.460
3.452 -4.661 4.380
1.429 0.000 0.000
1.429 0.000 2.920
3.452 2.202 1.460
3.452 -2.202 4.380
5.474 0.000 0.000
5.474 0.000 2.920
```

- SG = No. 63
- D(E_F) (states/eV/cell) = 7.6
- energy relative to the elements (eV/f.u.) = -3.37

VASP calculation (PBE) on a relaxed structure of BaPmZn10.

Geometry as POSCAR:
```
BaPmZn10
1.0
4.287 0.000 0.000
0.000 5.560 0.000
0.000 0.000 9.573
Ba Pm Zn
1 1 10
Cartesian
0.000 0.000 0.000
0.000 2.780 4.786
0.000 0.000 3.266
0.000 0.000 6.306
0.000 2.780 1.681
0.000 2.780 7.892
2.144 0.000 4.786
2.144 1.447 2.551
2.144 1.447 7.022
2.144 2.780 0.000
2.144 4.113 2.551
2.144 4.113 7.022
```

- SG = No. 47
- D(E_F) (states/eV/cell) = 6.0
- energy relative to the elements (eV/f.u.) = -2.66

VASP calculation (PBE) on a relaxed structure of K6TlPt.

Geometry as POSCAR:
```
K6TlPt
1.0
4.549 0.000 0.000
0.000 6.605 7.226
0.000 -6.605 7.226
K Tl Pt
6 1 1
Cartesian
0.000 0.000 0.000
0.000 -1.921 10.222
0.000 1.921 10.222
2.274 -2.845 6.816
2.274 0.000 3.894
2.274 2.845 6.816
0.000 0.000 6.936
2.274 0.000 8.476
```

- SG = No. 38
- D(E_F) (states/eV/cell) = 4.1
- energy relative to the elements (eV/f.u.) = -0.49

VASP calculation (PBE) on a relaxed structure of KCd2Ir.

Geometry as POSCAR:
```
KCd2Ir
1.0
5.125 0.000 0.000
0.000 5.125 0.000
0.000 0.000 3.223
K Cd Ir
1 2 1
Cartesian
0.000 0.000 0.000
0.000 2.562 1.611
2.562 0.000 1.611
2.562 2.562 0.000
```

- excess energy over the best structure of this formula in the dataset (eV/atom) = 0.2926
- SG = No. 123
- D(E_F) (states/eV/cell) = 1.6
- energy relative to the elements (eV/f.u.) = 1.86

- What is the D(E_F) in the twelfth record?
  1.6 states/eV/cell